DFT (PBE) results for an optimized crystal structure of ZrAg.

Cell: 7.638 7.638 7.638 Å, 90.00 90.00 90.00°
Positions (direct):
Zr  0.000  0.250  0.500
Zr  0.000  0.750  0.500
Zr  0.250  0.500  0.000
Zr  0.500  0.000  0.250
Zr  0.500  0.000  0.750
Zr  0.750  0.500  0.000
Ag  0.000  0.500  0.250
Ag  0.000  0.500  0.750
Ag  0.250  0.000  0.500
Ag  0.500  0.250  0.000
Ag  0.500  0.750  0.000
Ag  0.750  0.000  0.500

**Energy of formation from the pure elements**: 1.3436 eV per atom
**Magnetic moment**: 0.01 μB/cell
**Total DFT energy (no corrections)**: -52.273 eV per cell